No. 1
The following is a meta-GGA SCAN calculation of a crystal of Zr9BW4 relaxed with PBEsol, from Alexandria.

Geometry as CIF:
```
data_Zr9BW4
_symmetry_space_group_name_H-M 'P 63/m m c'
_symmetry_Int_Tables_number 194
_symmetry_space_group_name_Hall '-P 6c 2c'
_cell_length_a 8.5469
_cell_length_b 8.5469
_cell_length_c 8.5393
_cell_angle_alpha 90.00
_cell_angle_beta 90.00
_cell_angle_gamma 120.00
loop_
_atom_site_label
_atom_site_type_symbol
_atom_site_fract_x
_atom_site_fract_y
_atom_site_fract_z
Zr1 Zr 0.0793 0.5396 0.2500
Zr2 Zr 0.2029 0.4058 0.5567
B1 B 0.3333 0.6667 0.7500
W1 W 0.0000 0.0000 0.0000
W2 W 0.1101 0.2202 0.2500
```

No. 2
The following is a meta-GGA SCAN calculation of a crystal of YB4 relaxed with PBEsol, from Alexandria.

Geometry as CIF:
```
data_YB4
_symmetry_space_group_name_H-M 'P 4/m b m'
_symmetry_Int_Tables_number 127
_symmetry_space_group_name_Hall '-P 4 2ab'
_cell_length_a 7.065
_cell_length_b 7.065
_cell_length_c 3.991
_cell_angle_alpha 90.00
_cell_angle_beta 90.00
_cell_angle_gamma 90.00
loop_
_atom_site_label
_atom_site_type_symbol
_atom_site_fract_x
_atom_site_fract_y
_atom_site_fract_z
Y1 Y 0.183 0.317 0.000
B1 B 0.000 0.000 0.203
B2 B 0.039 0.824 0.500
B3 B 0.087 0.587 0.500
```

Number 1: density 9.635 g cm⁻³, energy of formation from the pure elements -0.122 eV/atom, D(E_F) 0.742 states/eV/atom. Number 2: density 4.406 g cm⁻³, energy of formation from the pure elements -0.672 eV/atom, D(E_F) 0.101 states/eV/atom.